Entry 1:
Compound: NbFeHg2As
Source: Alexandria
Functional: GGA-PBEsol
Structure: optimized geometry

The structure in POSCAR format:
```
NbFeHg2As
1.0
4.9672 0.0000 0.0000
0.0000 4.9672 0.0000
0.0000 0.0000 4.8462
Nb Fe Hg As
1 1 2 1
direct
0.0000 0.0000 0.0000
0.5000 0.5000 0.0000
0.0000 0.5000 0.5000
0.5000 0.0000 0.5000
0.0000 0.0000 0.5000
```

Output
As for the crystal system: tetragonal. For the spin magnetization, the calculation gives 2.60 μB per formula unit. As for the formation energy: 28.94 kcal/mol of atoms.


Entry 2:
Compound: FeTc2AsI
Source: Alexandria
Functional: GGA-PBEsol
Structure: optimized geometry

The structure in POSCAR format:
```
FeTc2AsI
1.0
4.5817 0.0000 0.0000
0.0000 4.5817 0.0000
0.0000 0.0000 4.2291
Fe Tc As I
1 2 1 1
direct
0.0000 0.0000 0.0000
0.0000 0.5000 0.0000
0.5000 0.0000 0.0000
0.0000 0.0000 0.5000
0.5000 0.5000 0.5000
```

Output
The formation energy from raw total energies comes out at 1.188 eV/atom. As for the crystal system: tetragonal. For the spin magnetization, the calculation gives 0.01 μB per formula unit.


Entry 3:
Compound: FeTeAsI2
Source: Alexandria
Functional: GGA-PBEsol
Structure: optimized geometry

The structure in POSCAR format:
```
FeTeAsI2
1.0
5.0241 0.0000 0.0000
0.0000 5.0241 0.0000
0.0000 0.0000 5.1532
Fe Te As I
1 1 1 2
direct
0.0000 0.0000 0.0000
0.0000 0.0000 0.5000
0.5000 0.5000 0.5000
0.0000 0.5000 0.0000
0.5000 0.0000 0.0000
```

Output
The formation energy from raw total energies comes out at 0.577 eV/atom. As for the crystal system: tetragonal. For the spin magnetization, the calculation gives 1.99 μB per formula unit.


Entry 4:
Compound: InFe2As
Source: Alexandria
Functional: GGA-PBEsol
Structure: optimized geometry

The structure in POSCAR format:
```
InFe2As
1.0
-1.9070 2.2874 3.2919
1.9070 -2.2874 3.2919
1.9070 2.2874 -3.2919
In Fe As
1 2 1
direct
0.0000 0.0000 0.0000
0.2968 0.7968 0.5000
0.7032 0.2032 0.5000
0.5000 0.5000 0.0000
```

Output
As for the crystal system: orthorhombic. Its offset from the most stable computed form is 0.0000 eV/atom. For the spin magnetization, the calculation gives 2.94 μB per formula unit. As for the formation energy: 5.98 kcal/mol of atoms.